(1)
HgPt2 at its PBEsol-relaxed geometry, computed with meta-GGA SCAN. Values from VASP.

Values from the calculation:
As for the calculated total energy: -415.0 eV for the cell shown. The symmetry is I4_1/amd, No. 141. The calculation puts the energy of formation from the pure elements at 0.344 eV/atom.

Quantum ESPRESSO input file:
```
&SYSTEM
  ibrav = 0, nat = 6, ntyp = 2
/
ATOMIC_SPECIES
Pt 195.08 Pt.upf
Hg 200.59 Hg.upf
CELL_PARAMETERS angstrom
-0.0140 1.1980 -3.3434
2.2306 -2.5988 -0.9405
-7.9934 -4.5402 0.2930
ATOMIC_POSITIONS angstrom
Pt 0.1001 -1.4678 -2.4127
Pt -5.8769 -4.4732 -1.5782
Hg 0.0000 0.0000 0.0000
Pt -4.4578 -2.7887 -2.8669
Pt -2.4413 -1.2539 -2.3254
Hg -2.3272 -3.9197 -1.3947
```


(2)
HgPt at its PBEsol-relaxed geometry, computed with meta-GGA SCAN. Values from VASP.

Values from the calculation:
As for the calculated total energy: -275.6 eV for the cell shown. The symmetry is P-3m1, No. 164. The calculation puts the energy of formation from the pure elements at 0.276 eV/atom.

Quantum ESPRESSO input file:
```
&SYSTEM
  ibrav = 0, nat = 4, ntyp = 2
/
ATOMIC_SPECIES
Hg 200.59 Hg.upf
Pt 195.08 Pt.upf
CELL_PARAMETERS angstrom
-0.7466 -0.4952 2.7695
1.0425 -2.1696 -1.6366
8.9225 2.1792 2.7949
ATOMIC_POSITIONS angstrom
Hg 8.1152 0.2615 2.2344
Pt 3.8672 -0.7760 0.9037
Pt 5.3513 0.2903 3.0241
Hg 1.1033 -0.7472 1.6934
```


(3)
Hg3Pt at its PBEsol-relaxed geometry, computed with meta-GGA SCAN. Values from VASP.

Values from the calculation:
As for the calculated total energy: -273.7 eV for the cell shown. The symmetry is Pm-3m, No. 221. The calculation puts the energy of formation from the pure elements at 0.245 eV/atom. The energy above the most stable polymorph in this dataset is 0.2497 eV per atom.

Quantum ESPRESSO input file:
```
&SYSTEM
  ibrav = 0, nat = 4, ntyp = 2
/
ATOMIC_SPECIES
Pt 195.08 Pt.upf
Hg 200.59 Hg.upf
CELL_PARAMETERS angstrom
4.2352 0.0000 0.0000
0.0000 4.2352 0.0000
0.0000 0.0000 4.2352
ATOMIC_POSITIONS angstrom
Pt 2.1176 2.1176 2.1176
Hg 0.0000 2.1176 0.0000
Hg 0.0000 0.0000 2.1176
Hg 2.1176 0.0000 0.0000
```


(4)
Hg3Pt at its PBEsol-relaxed geometry, computed with meta-GGA SCAN. Values from VASP.

Values from the calculation:
As for the calculated total energy: -274.0 eV for the cell shown. The symmetry is P4/mmm, No. 123. The calculation puts the energy of formation from the pure elements at 0.165 eV/atom. The energy above the most stable polymorph in this dataset is 0.1694 eV per atom.

Quantum ESPRESSO input file:
```
&SYSTEM
  ibrav = 0, nat = 4, ntyp = 2
/
ATOMIC_SPECIES
Hg 200.59 Hg.upf
Pt 195.08 Pt.upf
CELL_PARAMETERS angstrom
-1.5313 -2.2297 1.2375
-1.1216 -0.7075 -2.6626
6.9196 -5.5511 -1.4398
ATOMIC_POSITIONS angstrom
Hg 2.1334 -4.2442 -1.4325
Pt -1.3264 -1.4686 -0.7126
Hg 5.4093 -4.3395 -1.1256
Hg 1.5103 -1.2116 -0.3143
```


(5)
HgPt5 at its PBEsol-relaxed geometry, computed with meta-GGA SCAN. Values from VASP.

Values from the calculation:
As for the calculated total energy: -418.3 eV for the cell shown. The symmetry is Cm, No. 8. The calculation puts the energy of formation from the pure elements at 0.139 eV/atom.

Quantum ESPRESSO input file:
```
&SYSTEM
  ibrav = 0, nat = 6, ntyp = 2
/
ATOMIC_SPECIES
Pt 195.08 Pt.upf
Hg 200.59 Hg.upf
CELL_PARAMETERS angstrom
-1.1748 -1.9237 1.6111
3.3752 -2.8074 -3.2733
3.6868 2.1268 5.2277
ATOMIC_POSITIONS angstrom
Pt 2.5631 0.8649 2.9016
Pt 1.5633 -1.5026 1.7281
Pt 4.2622 -1.0762 1.8229
Pt 3.2202 -2.3085 -0.4083
Hg 5.8741 -2.6119 3.5469
Pt 4.1804 -0.6628 4.6391
```


(6)
HgPt2 at its PBEsol-relaxed geometry, computed with meta-GGA SCAN. Values from VASP.

Values from the calculation:
As for the calculated total energy: -416.2 eV for the cell shown. The symmetry is C2/m, No. 12. The calculation puts the energy of formation from the pure elements at 0.143 eV/atom.

Quantum ESPRESSO input file:
```
&SYSTEM
  ibrav = 0, nat = 6, ntyp = 2
/
ATOMIC_SPECIES
Hg 200.59 Hg.upf
Pt 195.08 Pt.upf
CELL_PARAMETERS angstrom
2.8484 0.0000 0.0000
-1.4242 5.4011 0.0193
0.0000 -2.0181 6.4302
ATOMIC_POSITIONS angstrom
Hg 1.4242 4.7089 1.3236
Pt 1.4242 1.8673 0.9106
Hg 0.0000 -1.3258 5.1258
Pt 0.0000 1.5158 5.5389
Pt 1.4242 0.5121 3.3953
Pt 0.0000 2.8709 3.0542
```


(7)
Hg3Pt at its PBEsol-relaxed geometry, computed with meta-GGA SCAN. Values from VASP.

Values from the calculation:
As for the calculated total energy: -273.9 eV for the cell shown. The symmetry is R-3m, No. 166. The calculation puts the energy of formation from the pure elements at 0.210 eV/atom. The energy above the most stable polymorph in this dataset is 0.2142 eV per atom.

Quantum ESPRESSO input file:
```
&SYSTEM
  ibrav = 0, nat = 4, ntyp = 2
/
ATOMIC_SPECIES
Hg 200.59 Hg.upf
Pt 195.08 Pt.upf
CELL_PARAMETERS angstrom
3.0747 0.0000 0.0000
1.5373 2.6627 0.0000
1.5373 0.8876 9.6303
ATOMIC_POSITIONS angstrom
Hg 1.5373 0.8876 2.2020
Pt 0.0000 0.0000 0.0000
Hg 3.0747 1.7752 4.8152
Hg 4.6120 2.6627 7.4283
```


(8)
HgPt5 at its PBEsol-relaxed geometry, computed with meta-GGA SCAN. Values from VASP.

Values from the calculation:
As for the calculated total energy: -418.6 eV for the cell shown. The symmetry is P4/mmm, No. 123. The calculation puts the energy of formation from the pure elements at 0.088 eV/atom.

Quantum ESPRESSO input file:
```
&SYSTEM
  ibrav = 0, nat = 6, ntyp = 2
/
ATOMIC_SPECIES
Pt 195.08 Pt.upf
Hg 200.59 Hg.upf
CELL_PARAMETERS angstrom
2.8226 0.0000 0.0000
0.0000 2.8226 0.0000
0.0000 0.0000 11.8301
ATOMIC_POSITIONS angstrom
Pt 0.0000 0.0000 2.1136
Pt 0.0000 0.0000 9.7166
Hg 1.4113 1.4113 0.0000
Pt 1.4113 1.4113 7.8001
Pt 1.4113 1.4113 4.0300
Pt 0.0000 0.0000 5.9151
```


(9)
Hg3Pt at its PBEsol-relaxed geometry, computed with meta-GGA SCAN. Values from VASP.

Values from the calculation:
As for the calculated total energy: -274.0 eV for the cell shown. The symmetry is P2/m, No. 10. The calculation puts the energy of formation from the pure elements at 0.181 eV/atom. The energy above the most stable polymorph in this dataset is 0.1855 eV per atom.

Quantum ESPRESSO input file:
```
&SYSTEM
  ibrav = 0, nat = 4, ntyp = 2
/
ATOMIC_SPECIES
Hg 200.59 Hg.upf
Pt 195.08 Pt.upf
CELL_PARAMETERS angstrom
-1.3320 -2.1650 -1.7394
3.2825 -3.0743 1.3130
-2.7838 -0.9660 4.6980
ATOMIC_POSITIONS angstrom
Hg -0.9405 -0.5941 0.9602
Hg -3.1753 -2.5369 1.9985
Hg 0.9753 -2.6197 -0.2132
Pt -0.4166 -3.1027 2.1358
```


(10)
HgPt at its PBEsol-relaxed geometry, computed with meta-GGA SCAN. Values from VASP.

Values from the calculation:
As for the calculated total energy: -276.0 eV for the cell shown. The symmetry is Pmmn, No. 59. The calculation puts the energy of formation from the pure elements at 0.186 eV/atom.

Quantum ESPRESSO input file:
```
&SYSTEM
  ibrav = 0, nat = 4, ntyp = 2
/
ATOMIC_SPECIES
Pt 195.08 Pt.upf
Hg 200.59 Hg.upf
CELL_PARAMETERS angstrom
2.9862 0.0000 0.0000
0.0000 4.8040 0.0000
0.0000 0.0000 4.8521
ATOMIC_POSITIONS angstrom
Pt 0.0000 0.4427 2.4260
Hg 0.0000 1.9175 0.0000
Hg 1.4931 2.8865 2.4260
Pt 1.4931 4.3613 0.0000
```


(11)
Hg3Pt at its PBEsol-relaxed geometry, computed with meta-GGA SCAN. Values from VASP.

Values from the calculation:
As for the calculated total energy: -274.7 eV for the cell shown. The symmetry is Pm-3m, No. 221. The calculation puts the energy of formation from the pure elements at 0.004 eV/atom. The energy above the most stable polymorph in this dataset is 0.0083 eV per atom.

Quantum ESPRESSO input file:
```
&SYSTEM
  ibrav = 0, nat = 4, ntyp = 2
/
ATOMIC_SPECIES
Hg 200.59 Hg.upf
Pt 195.08 Pt.upf
CELL_PARAMETERS angstrom
5.2304 0.0000 0.0000
0.0000 5.2304 0.0000
0.0000 0.0000 5.2304
ATOMIC_POSITIONS angstrom
Hg 2.6152 0.0000 0.0000
Pt 0.0000 0.0000 0.0000
Hg 0.0000 2.6152 0.0000
Hg 0.0000 0.0000 2.6152
```


(12)
Hg3Pt at its PBEsol-relaxed geometry, computed with meta-GGA SCAN. Values from VASP.

Values from the calculation:
As for the calculated total energy: -1098.8 eV for the cell shown. The symmetry is Pnma, No. 62. The calculation puts the energy of formation from the pure elements at -0.005 eV/atom. The energy above the most stable polymorph in this dataset is 0.0000 eV per atom.

Quantum ESPRESSO input file:
```
&SYSTEM
  ibrav = 0, nat = 16, ntyp = 2
/
ATOMIC_SPECIES
Hg 200.59 Hg.upf
Pt 195.08 Pt.upf
CELL_PARAMETERS angstrom
5.3192 0.0000 0.0000
0.0000 7.2420 0.0000
0.0000 0.0000 8.6661
ATOMIC_POSITIONS angstrom
Hg 4.6148 2.3993 4.7169
Hg 3.3640 6.0203 8.2823
Pt 3.0938 1.0041 6.4996
Hg 0.7044 4.8427 0.3838
Hg 2.1485 3.6485 6.4996
Hg 0.7044 4.8427 3.9492
Pt 4.8851 4.6251 6.4996
Hg 3.3640 6.0203 4.7169
Hg 1.9552 1.2217 0.3838
Pt 2.2254 6.2379 2.1665
Hg 4.8081 7.2145 2.1665
Pt 0.4342 2.6169 2.1665
Hg 4.6148 2.3993 8.2823
Hg 1.9552 1.2217 3.9492
Hg 0.5111 0.0275 6.4996
Hg 3.1707 3.5935 2.1665
```


(13)
HgPt7 at its PBEsol-relaxed geometry, computed with meta-GGA SCAN. Values from VASP.

Values from the calculation:
As for the calculated total energy: -558.9 eV for the cell shown. The symmetry is Fm-3m, No. 225. The calculation puts the energy of formation from the pure elements at 0.072 eV/atom.

Quantum ESPRESSO input file:
```
&SYSTEM
  ibrav = 0, nat = 8, ntyp = 2
/
ATOMIC_SPECIES
Pt 195.08 Pt.upf
Hg 200.59 Hg.upf
CELL_PARAMETERS angstrom
-0.3778 -0.5765 -5.5521
-4.9514 -1.0812 -2.3696
-2.5578 3.9292 -3.0528
ATOMIC_POSITIONS angstrom
Pt -2.4757 -0.5406 -1.1848
Pt -1.4678 1.6763 -4.3025
Pt -0.1889 -0.2883 -2.7760
Pt -1.2789 1.9646 -1.5264
Pt -2.6646 -0.8289 -3.9609
Hg 0.0000 0.0000 0.0000
Pt -3.7546 1.4240 -2.7112
Pt -3.9435 1.1357 -5.4873
```


(14)
RbHgPt2S at its PBEsol-relaxed geometry, computed with meta-GGA SCAN. Values from VASP.

Values from the calculation:
As for the calculated total energy: -238.7 eV for the cell shown. The symmetry is P4/mmm, No. 123. For the uncorrected formation energy, the calculation gives 46 meV/atom.

Quantum ESPRESSO input file:
```
&SYSTEM
  ibrav = 0, nat = 5, ntyp = 4
/
ATOMIC_SPECIES
Rb 85.47 Rb.upf
Pt 195.08 Pt.upf
S 32.06 S.upf
Hg 200.59 Hg.upf
CELL_PARAMETERS angstrom
4.4950 0.0000 0.0000
0.0000 4.4950 0.0000
0.0000 0.0000 6.1253
ATOMIC_POSITIONS angstrom
Rb 0.0000 0.0000 3.0627
Pt 0.0000 2.2475 0.0000
Pt 2.2475 0.0000 0.0000
S 0.0000 0.0000 0.0000
Hg 2.2475 2.2475 3.0627
```


(15)
ReHg2Pt at its PBEsol-relaxed geometry, computed with meta-GGA SCAN. Values from VASP.

Values from the calculation:
As for the calculated total energy: -274.8 eV for the cell shown. The symmetry is Cmmm, No. 65. The calculation puts the energy of formation from the pure elements at 0.696 eV/atom. The energy above the most stable polymorph in this dataset is 0.0000 eV per atom.

Quantum ESPRESSO input file:
```
&SYSTEM
  ibrav = 0, nat = 4, ntyp = 3
/
ATOMIC_SPECIES
Pt 195.08 Pt.upf
Hg 200.59 Hg.upf
Re 186.21 Re.upf
CELL_PARAMETERS angstrom
-0.9201 -0.7908 -2.4870
1.1731 -4.8508 1.1085
-4.8002 0.9696 1.4676
ATOMIC_POSITIONS angstrom
Pt -0.4601 -0.3954 -1.2435
Hg -2.4001 0.4848 0.7338
Re -2.2736 -2.3361 0.0446
Hg 0.5865 -2.4254 0.5543
```


(16)
Re2HgPt at its PBEsol-relaxed geometry, computed with meta-GGA SCAN. Values from VASP.

Values from the calculation:
As for the calculated total energy: -277.8 eV for the cell shown. The symmetry is Cmmm, No. 65. The calculation puts the energy of formation from the pure elements at 0.685 eV/atom.

Quantum ESPRESSO input file:
```
&SYSTEM
  ibrav = 0, nat = 4, ntyp = 3
/
ATOMIC_SPECIES
Re 186.21 Re.upf
Pt 195.08 Pt.upf
Hg 200.59 Hg.upf
CELL_PARAMETERS angstrom
-1.0723 0.3619 2.4635
3.7721 -2.6570 2.0322
0.8697 4.9538 -0.3492
ATOMIC_POSITIONS angstrom
Re 1.8861 -1.3285 1.0161
Re 0.4348 2.4769 -0.1746
Pt 1.7848 1.3293 2.0732
Hg -0.5361 0.1810 1.2318
```


(17)
ReHg2Pt at its PBEsol-relaxed geometry, computed with meta-GGA SCAN. Values from VASP.

Values from the calculation:
As for the calculated total energy: -274.4 eV for the cell shown. The symmetry is F-43m, No. 216. The calculation puts the energy of formation from the pure elements at 0.801 eV/atom. The energy above the most stable polymorph in this dataset is 0.1054 eV per atom.

Quantum ESPRESSO input file:
```
&SYSTEM
  ibrav = 0, nat = 4, ntyp = 3
/
ATOMIC_SPECIES
Hg 200.59 Hg.upf
Re 186.21 Re.upf
Pt 195.08 Pt.upf
CELL_PARAMETERS angstrom
-1.9755 -0.7550 -4.1091
0.6144 -4.0438 -2.1512
-3.5123 -2.9816 -0.3623
ATOMIC_POSITIONS angstrom
Hg 0.0000 0.0000 0.0000
Re -1.2184 -1.9451 -1.6556
Hg -3.6551 -5.8353 -4.9669
Pt -2.4367 -3.8902 -3.3113
```


(18)
ReHgPt2 at its PBEsol-relaxed geometry, computed with meta-GGA SCAN. Values from VASP.

Values from the calculation:
As for the calculated total energy: -278.5 eV for the cell shown. The symmetry is P4/mmm, No. 123. The calculation puts the energy of formation from the pure elements at 0.287 eV/atom.

Quantum ESPRESSO input file:
```
&SYSTEM
  ibrav = 0, nat = 4, ntyp = 3
/
ATOMIC_SPECIES
Pt 195.08 Pt.upf
Re 186.21 Re.upf
Hg 200.59 Hg.upf
CELL_PARAMETERS angstrom
-0.7281 0.7434 -2.5357
2.5622 -3.7032 -1.8213
-3.9199 -2.8541 0.2887
ATOMIC_POSITIONS angstrom
Pt 1.2811 -1.8516 -0.9107
Re -1.0429 -2.9069 -2.0342
Hg -0.3640 0.3717 -1.2679
Pt -1.9600 -1.4271 0.1444
```


(19)
Re2HgPt at its PBEsol-relaxed geometry, computed with meta-GGA SCAN. Values from VASP.

Values from the calculation:
As for the calculated total energy: -277.8 eV for the cell shown. The symmetry is P4/mmm, No. 123. The calculation puts the energy of formation from the pure elements at 0.680 eV/atom.

Quantum ESPRESSO input file:
```
&SYSTEM
  ibrav = 0, nat = 4, ntyp = 3
/
ATOMIC_SPECIES
Hg 200.59 Hg.upf
Re 186.21 Re.upf
Pt 195.08 Pt.upf
CELL_PARAMETERS angstrom
-1.3547 0.4808 3.5446
1.3239 -3.4537 0.9745
3.7304 1.7647 1.1863
ATOMIC_POSITIONS angstrom
Hg 1.8498 -0.6041 2.8527
Re -0.6774 0.2404 1.7723
Pt 1.8652 0.8823 0.5932
Re 0.6619 -1.7268 0.4872
```


(20)
ReHgPt2 at its PBEsol-relaxed geometry, computed with meta-GGA SCAN. Values from VASP.

Values from the calculation:
As for the calculated total energy: -278.4 eV for the cell shown. The symmetry is Cmmm, No. 65. The calculation puts the energy of formation from the pure elements at 0.303 eV/atom.

Quantum ESPRESSO input file:
```
&SYSTEM
  ibrav = 0, nat = 4, ntyp = 3
/
ATOMIC_SPECIES
Pt 195.08 Pt.upf
Re 186.21 Re.upf
Hg 200.59 Hg.upf
CELL_PARAMETERS angstrom
-0.2937 1.2799 -2.4413
-4.8917 -0.4754 0.3394
1.4704 4.2347 2.0433
ATOMIC_POSITIONS angstrom
Pt 0.7352 2.1173 1.0216
Re -0.1469 0.6400 -1.2206
Pt -2.4458 -0.2377 0.1697
Hg -1.8575 2.5196 -0.0293
```